(1)
## TaBeBrF2 (SCAN)

Data for a PBEsol-optimized structure of TaBeBrF2.

Cell and atoms, written as POSCAR:
```
TaBeBrF2
1.0
4.120 0.000 0.000
0.000 4.120 0.000
0.000 0.000 5.313
Ta Be Br F
1 1 1 2
Cartesian
0.000 0.000 0.000
2.060 2.060 2.656
0.000 0.000 2.656
0.000 2.060 0.000
2.060 0.000 0.000
```

Summary:
- E_tot: -20.186 eV per atom
- ΔE_f (raw): -691.2 meV/atom


(2)
## BeTeBrF2 (SCAN)

Data for a PBEsol-optimized structure of BeTeBrF2.

Cell and atoms, written as POSCAR:
```
BeTeBrF2
1.0
4.123 0.000 0.000
0.000 4.123 0.000
0.000 0.000 6.182
Be Te Br F
1 1 1 2
Cartesian
0.000 0.000 0.000
2.062 2.062 0.000
2.062 2.062 3.091
0.000 2.062 3.091
2.062 0.000 3.091
```

Summary:
- E_tot: -13.536 eV per atom
- ΔE_f (raw): 92.7 meV/atom


(3)
## BeFeBr2 (SCAN)

Data for a PBEsol-optimized structure of BeFeBr2.

Cell and atoms, written as POSCAR:
```
BeFeBr2
1.0
3.291 0.000 0.000
0.000 3.704 0.000
0.000 0.000 6.184
Be Fe Br
1 1 2
Cartesian
0.000 0.000 0.000
1.646 0.000 3.092
0.000 1.852 3.092
1.646 1.852 0.000
```

Summary:
- E_tot: -14.881 eV per atom
- ΔE_f (raw): 469.5 meV/atom
- Distance to the lowest polymorph of the same formula: 12.64 kcal/mol of atoms


(4)
## Be4FeBr (SCAN)

Data for a PBEsol-optimized structure of Be4FeBr.

Cell and atoms, written as POSCAR:
```
Be4FeBr
1.0
0.000 3.125 3.125
3.125 0.000 3.125
3.125 3.125 0.000
Be Fe Br
4 1 1
Cartesian
2.362 2.362 2.362
3.888 3.888 2.362
3.888 2.362 3.888
2.362 3.888 3.888
4.688 4.688 4.688
0.000 0.000 0.000
```

Summary:
- E_tot: -8.543 eV per atom
- ΔE_f (raw): 624.7 meV/atom


(5)
## BeFeBr2 (SCAN)

Data for a PBEsol-optimized structure of BeFeBr2.

Cell and atoms, written as POSCAR:
```
BeFeBr2
1.0
3.170 0.000 0.000
0.000 3.170 0.000
0.000 0.000 6.510
Be Fe Br
1 1 2
Cartesian
0.000 0.000 0.000
0.000 0.000 3.255
1.585 1.585 1.632
1.585 1.585 4.879
```

Summary:
- E_tot: -14.701 eV per atom
- ΔE_f (raw): 649.6 meV/atom
- Distance to the lowest polymorph of the same formula: 16.79 kcal/mol of atoms


(6)
## BeFeBr2 (SCAN)

Data for a PBEsol-optimized structure of BeFeBr2.

Cell and atoms, written as POSCAR:
```
BeFeBr2
1.0
2.993 -1.727 0.000
2.993 1.727 0.000
-0.034 0.000 7.043
Be Fe Br
1 1 2
Cartesian
0.000 0.000 0.000
1.959 0.000 5.932
1.992 0.000 1.282
3.954 0.000 4.467
```

Summary:
- E_tot: -15.412 eV per atom
- ΔE_f (raw): -61.7 meV/atom
- Distance to the lowest polymorph of the same formula: 0.39 kcal/mol of atoms


(7)
## BeFeBr2 (SCAN)

Data for a PBEsol-optimized structure of BeFeBr2.

Cell and atoms, written as POSCAR:
```
BeFeBr2
1.0
1.610 -3.025 0.000
1.610 3.025 0.000
0.000 0.000 8.525
Be Fe Br
1 1 2
Cartesian
0.000 0.000 0.000
1.610 0.000 6.757
0.000 0.000 4.976
1.610 0.000 1.449
```

Summary:
- E_tot: -15.331 eV per atom
- ΔE_f (raw): 19.9 meV/atom
- Distance to the lowest polymorph of the same formula: 2.27 kcal/mol of atoms


(8)
## BeFeBr2 (SCAN)

Data for a PBEsol-optimized structure of BeFeBr2.

Cell and atoms, written as POSCAR:
```
BeFeBr2
1.0
3.335 0.000 0.000
0.000 3.335 0.000
-0.022 0.000 6.626
Be Fe Br
1 1 2
Cartesian
0.000 0.000 0.000
1.645 1.668 6.625
1.667 0.000 1.791
3.312 1.668 4.835
```

Summary:
- E_tot: -15.429 eV per atom
- ΔE_f (raw): -78.5 meV/atom
- Distance to the lowest polymorph of the same formula: 0.00 kcal/mol of atoms


(9)
## BeFeBr2 (SCAN)

Data for a PBEsol-optimized structure of BeFeBr2.

Cell and atoms, written as POSCAR:
```
BeFeBr2
1.0
1.592 -3.064 0.000
1.592 3.064 0.000
0.000 0.000 7.426
Be Fe Br
1 1 2
Cartesian
0.000 0.000 0.000
0.000 0.000 3.713
1.592 0.000 1.663
1.592 0.000 5.762
```

Summary:
- E_tot: -14.906 eV per atom
- ΔE_f (raw): 444.8 meV/atom
- Distance to the lowest polymorph of the same formula: 12.07 kcal/mol of atoms


(10)
## Be2GaBr (SCAN)

Data for a PBEsol-optimized structure of Be2GaBr.

Cell and atoms, written as POSCAR:
```
Be2GaBr
1.0
-2.777 2.777 4.725
2.777 -2.777 4.725
2.777 2.777 -4.725
Be Ga Br
4 2 2
Cartesian
1.389 1.363 -1.181
1.415 -1.389 5.906
1.389 1.415 3.543
1.363 4.166 1.181
0.000 0.000 0.000
0.000 2.777 2.362
2.777 0.000 2.362
0.000 0.000 4.725
```

Summary:
- E_tot: -10.716 eV per atom
- ΔE_f (raw): 412.6 meV/atom


(11)
## Be2GaGeBr (SCAN)

Data for a PBEsol-optimized structure of Be2GaGeBr.

Cell and atoms, written as POSCAR:
```
Be2GaGeBr
1.0
4.215 0.000 0.000
0.000 4.215 0.000
0.000 0.000 5.701
Be Ga Ge Br
2 1 1 1
Cartesian
0.000 2.107 0.000
2.107 0.000 0.000
0.000 0.000 2.850
0.000 0.000 0.000
2.107 2.107 2.850
```

Summary:
- E_tot: -12.347 eV per atom
- ΔE_f (raw): 372.7 meV/atom


(12)
## BeGaSiBr2 (SCAN)

Data for a PBEsol-optimized structure of BeGaSiBr2.

Cell and atoms, written as POSCAR:
```
BeGaSiBr2
1.0
4.641 0.000 0.000
0.000 4.641 0.000
0.000 0.000 4.740
Be Ga Si Br
1 1 1 2
Cartesian
0.000 0.000 0.000
0.000 0.000 2.370
2.320 2.320 2.370
0.000 2.320 0.000
2.320 0.000 0.000
```

Summary:
- E_tot: -13.338 eV per atom
- ΔE_f (raw): 589.4 meV/atom